## Pr3Bi3Te (PBE)

Data for an optimized crystal structure of Pr3Bi3Te.

abc: 8.0326 8.0326 8.5403
angles: 86.88 86.88 110.48
Atoms (fractional coordinates):
Pr1 0.1667 0.4969 0.3064
Pr2 0.0623 0.0623 0.7735
Bi1 0.7840 0.2160 0.0000
Bi2 0.4025 0.4025 0.6520
Pr3 0.8333 0.5031 0.6936
Te1 0.2660 0.2660 0.0616
Bi3 0.5975 0.5975 0.3480
Bi4 0.2160 0.7840 0.0000
Pr4 0.4969 0.1667 0.3064
Bi5 0.8358 0.1642 0.5000
Pr5 0.9377 0.9377 0.2265
Bi6 0.1642 0.8358 0.5000
Pr6 0.5031 0.8333 0.6936
Te2 0.7340 0.7340 0.9384

Output
The total DFT energy (no corrections) is -4.9075 eV per atom.